Version a
6
Lattice="2.689 -1.551 0.000 2.689 1.551 0.000 -2.590 0.000 6.567" Properties=species:S:1:pos:R:3 comment="MgBO PBE-GGA relaxed" spacegroup=Cm volume_a3_per_cell=55 pbc="T T T"
Mg 0.000 0.000 0.000
Mg 1.879 0.000 2.470
B -0.885 0.000 4.896
B 0.917 0.000 4.889
O 0.019 0.000 3.567
O 3.680 0.000 1.270

---

Version b
6
Lattice="-1.505 2.959 3.606 1.505 -2.959 3.606 1.505 2.959 -3.606" Properties=species:S:1:pos:R:3 comment="MgBO PBE-GGA relaxed" spacegroup=Imma dos_ef_per_ev_cell=0.01 volume_a3_per_cell=64 pbc="T T T"
Mg 0.000 0.000 0.000
Mg 0.000 2.959 0.000
B 1.505 1.480 1.456
B 0.000 1.480 2.150
O 1.505 1.480 -0.098
O 0.000 1.480 3.704

---

Bottom line: version a, by a margin of 18 meV per atom.